(1)
# SrPaAl4

A relaxed structure of SrPaAl4 (PBE-GGA, Alexandria via LeMat-Bulk).

Unit cell a=5.659 b=5.659 c=5.659 alpha=60.00 beta=60.00 gamma=60.00
Positions (direct):
Sr 0.000 0.000 0.000
Pa 0.750 0.750 0.750
Al 0.376 0.376 0.376
Al 0.376 0.376 0.871
Al 0.376 0.871 0.376
Al 0.871 0.376 0.376

---

(2)
# SrPaAl2

A relaxed structure of SrPaAl2 (PBE-GGA, Alexandria via LeMat-Bulk).

Unit cell a=3.335 b=3.335 c=8.993 alpha=90.00 beta=90.00 gamma=90.00
Positions (direct):
Sr 0.000 0.000 0.000
Pa 0.000 0.000 0.500
Al 0.500 0.500 0.271
Al 0.500 0.500 0.729

---

(3)
# PaTaAl2

A relaxed structure of PaTaAl2 (PBE-GGA, Alexandria via LeMat-Bulk).

Unit cell a=10.104 b=10.104 c=10.104 alpha=17.08 beta=17.08 gamma=17.08
Positions (direct):
Pa 0.000 0.000 0.000
Ta 0.500 0.500 0.500
Al 0.243 0.243 0.243
Al 0.757 0.757 0.757

Summary:
Distance to the lowest polymorph of the same formula, kJ/mol of formula units: 38

---

(4)
# PaTaAl2

A relaxed structure of PaTaAl2 (PBE-GGA, Alexandria via LeMat-Bulk).

Unit cell a=2.880 b=2.880 c=9.046 alpha=90.00 beta=90.00 gamma=90.00
Positions (direct):
Pa 0.000 0.000 0.000
Ta 0.000 0.000 0.500
Al 0.500 0.500 0.272
Al 0.500 0.500 0.728

Summary:
Distance to the lowest polymorph of the same formula, kJ/mol of formula units: 0

---

(5)
# PaTa2Al

A relaxed structure of PaTa2Al (PBE-GGA, Alexandria via LeMat-Bulk).

Unit cell a=4.561 b=4.561 c=3.718 alpha=90.00 beta=90.00 gamma=90.00
Positions (direct):
Pa 0.000 0.000 0.000
Ta 0.000 0.500 0.500
Ta 0.500 0.000 0.500
Al 0.500 0.500 0.000

Summary:
Distance to the lowest polymorph of the same formula, kJ/mol of formula units: 0

---

(6)
# PaTa2Al

A relaxed structure of PaTa2Al (PBE-GGA, Alexandria via LeMat-Bulk).

Unit cell a=10.490 b=10.490 c=10.490 alpha=16.27 beta=16.27 gamma=16.27
Positions (direct):
Pa 0.000 0.000 0.000
Ta 0.093 0.093 0.093
Ta 0.907 0.907 0.907
Al 0.500 0.500 0.500

Summary:
Distance to the lowest polymorph of the same formula, kJ/mol of formula units: 123

---

(7)
# Pa2TaAl3

A relaxed structure of Pa2TaAl3 (PBE-GGA, Alexandria via LeMat-Bulk).

Unit cell a=5.413 b=5.413 c=5.663 alpha=118.59 beta=118.59 gamma=59.88
Positions (direct):
Pa 0.139 0.139 0.415
Pa 0.861 0.861 0.585
Ta 0.500 0.500 0.500
Al 0.000 0.500 0.000
Al 0.500 0.000 0.000
Al 0.500 0.500 0.000

---

(8)
# PaTaAl4

A relaxed structure of PaTaAl4 (PBE-GGA, Alexandria via LeMat-Bulk).

Unit cell a=5.353 b=5.353 c=5.353 alpha=60.00 beta=60.00 gamma=60.00
Positions (direct):
Pa 0.000 0.000 0.000
Ta 0.250 0.250 0.250
Al 0.127 0.624 0.624
Al 0.624 0.127 0.624
Al 0.624 0.624 0.127
Al 0.624 0.624 0.624

---

The evaluated size of the total moment for the records listed, in turn: 0.011, 0.000, 0.000, 0.001, 0.000, 0.000, 0.000, 0.002 μB/cell.
The evaluated energy of formation from the pure elements for the records listed, in turn: -0.138, -0.052, -0.069, -0.169, 0.015, 0.333, -0.252, -0.127 eV/atom.